# 1
# InIr

Crystalline InIr at its relaxed geometry (PBE, OQMD).

Unit cell a=4.267 b=4.267 c=4.267 alpha=60.00 beta=60.00 gamma=60.00
Sites, in units of the cell vectors:
1 In 0.000 0.000 0.000
2 Ir 0.250 0.250 0.250

Summary:
* total magnetization: 0.0 Bohr magnetons per cell
* calculated total energy: -4.8284 eV/atom
* theoretical density: 9.3 g/cm³

***

# 2
# ErTlCdTe3

Crystalline ErTlCdTe3 at its relaxed geometry (PBE, OQMD).

Unit cell a=8.082 b=8.082 c=11.652 alpha=90.00 beta=90.00 gamma=148.07
Sites, in units of the cell vectors:
1 Cd 0.962 0.038 0.250
2 Cd 0.038 0.962 0.750
3 Er 0.500 0.500 0.000
4 Er 0.500 0.500 0.500
5 Te 0.865 0.135 0.047
6 Te 0.579 0.421 0.250
7 Te 0.865 0.135 0.453
8 Te 0.135 0.865 0.547
9 Te 0.421 0.579 0.750
10 Te 0.135 0.865 0.953
11 Tl 0.259 0.741 0.250
12 Tl 0.741 0.259 0.750

Summary:
* polymorph energy (0 for the lowest one): 0 meV/atom
* total magnetization: 0.0 Bohr magnetons per cell
* theoretical density: 7.2 g/cm³

***

Q: Which of these has the lowest theoretical density?
A: ErTlCdTe3

***

Q: What is the formula in the first record?
A: InIr

***

Q: Number 1 is which compound?
A: InIr